The following is a DFT calculation (PBE) of a relaxed structure of PmEuThSc.

Formation energy, eV/f.u.: 0.89
E, eV per atom: -6.97

Cell lengths 8.0106, 8.0106, 8.0106 Å; angles 90.00, 90.00, 90.00 degrees
Last column: nearest neighbours and their distance in Å.
Atoms (fractional coordinates):
Pm  0.0000  0.0000  0.0000  4 Eu 3.47, 4 Th 3.47
Pm  0.0000  0.5000  0.5000  4 Eu 3.47, 4 Th 3.47
Pm  0.5000  0.0000  0.5000  4 Eu 3.47, 4 Th 3.47
Pm  0.5000  0.5000  0.0000  4 Eu 3.47, 4 Th 3.47
Eu  0.2500  0.2500  0.7500  4 Pm 3.47, 4 Sc 3.47
Eu  0.2500  0.7500  0.2500  4 Pm 3.47, 4 Sc 3.47
Eu  0.7500  0.2500  0.2500  4 Pm 3.47, 4 Sc 3.47
Eu  0.7500  0.7500  0.7500  4 Pm 3.47, 4 Sc 3.47
Th  0.2500  0.2500  0.2500  4 Pm 3.47, 4 Sc 3.47
Th  0.2500  0.7500  0.7500  4 Pm 3.47, 4 Sc 3.47
Th  0.7500  0.2500  0.7500  4 Pm 3.47, 4 Sc 3.47
Th  0.7500  0.7500  0.2500  4 Pm 3.47, 4 Sc 3.47
Sc  0.0000  0.0000  0.5000  4 Th 3.47, 4 Eu 3.47
Sc  0.0000  0.5000  0.0000  4 Th 3.47, 4 Eu 3.47
Sc  0.5000  0.0000  0.0000  4 Th 3.47, 4 Eu 3.47
Sc  0.5000  0.5000  0.5000  4 Th 3.47, 4 Eu 3.47